A plane-wave DFT calculation with PBE was carried out for a geometry-optimized DyYSn structure.

Cell and atoms, written as POSCAR:
```
DyYSn
1.0
5.108 0.000 0.000
-2.554 4.424 0.000
0.000 0.000 3.860
Dy Y Sn
1 1 1
direct
0.000 0.000 0.000
0.333 0.667 0.549
0.667 0.333 0.268
```

energy relative to the lowest polymorph listed for this composition	0.0	kJ per mole of atoms
symmetry	P3m1, No. 156

A plane-wave DFT calculation with PBE was carried out for a geometry-optimized DyYSn2 structure.

Cell and atoms, written as POSCAR:
```
DyYSn2
1.0
3.477 0.000 0.000
0.000 3.477 0.000
0.000 0.000 8.793
Dy Y Sn
1 1 2
direct
0.000 0.000 0.000
0.000 0.000 0.500
0.500 0.500 0.250
0.500 0.500 0.750
```

total energy	-5.405	eV/atom
symmetry	P4/mmm, No. 123

A plane-wave DFT calculation with PBE was carried out for a geometry-optimized DyYZnSn structure.

Cell and atoms, written as POSCAR:
```
DyYZnSn
1.0
0.000 3.668 3.668
3.668 0.000 3.668
3.668 3.668 0.000
Dy Y Zn Sn
1 1 1 1
direct
0.000 0.000 0.000
0.500 0.500 0.500
0.250 0.250 0.250
0.750 0.750 0.750
```

total energy	-4.598	eV/atom
symmetry	F-43m, No. 216

A plane-wave DFT calculation with PBE was carried out for a geometry-optimized Dy2Zn3Sn structure.

Cell and atoms, written as POSCAR:
```
Dy2Zn3Sn
1.0
0.000 4.545 7.875
3.605 0.000 7.875
3.605 4.545 0.000
Dy Zn Sn
4 6 2
direct
0.243 0.757 0.757
0.250 0.250 0.250
0.750 0.750 0.750
0.757 0.243 0.243
0.161 0.161 0.839
0.163 0.677 0.323
0.323 0.837 0.163
0.677 0.163 0.837
0.837 0.323 0.677
0.839 0.839 0.161
0.334 0.334 0.666
0.666 0.666 0.334
```

energy relative to the lowest polymorph listed for this composition	0.0	kJ per mole of atoms
symmetry	Fmmm, No. 69

A plane-wave DFT calculation with PBE was carried out for a geometry-optimized DyZnSn2 structure.

Cell and atoms, written as POSCAR:
```
DyZnSn2
1.0
4.616 0.000 0.000
0.000 4.616 0.000
0.000 0.000 4.393
Dy Zn Sn
1 1 2
direct
0.000 0.000 0.000
0.500 0.500 0.000
0.000 0.500 0.500
0.500 0.000 0.500
```

energy relative to the lowest polymorph listed for this composition	3.1	kJ per mole of atoms
symmetry	P4/mmm, No. 123

A plane-wave DFT calculation with PBE was carried out for a geometry-optimized Dy2ZnSn4 structure.

Cell and atoms, written as POSCAR:
```
Dy2ZnSn4
1.0
4.446 0.000 0.000
0.000 4.446 0.000
0.000 0.000 9.073
Dy Zn Sn
2 1 4
direct
0.000 0.500 0.226
0.500 0.000 0.774
0.500 0.500 0.000
0.000 0.000 0.500
0.000 0.500 0.824
0.500 0.000 0.176
0.500 0.500 0.500
```

total energy	-4.211	eV/atom
symmetry	P-4m2, No. 115

A plane-wave DFT calculation with PBE was carried out for a geometry-optimized Dy2Zn3Sn structure.

Cell and atoms, written as POSCAR:
```
Dy2Zn3Sn
1.0
3.607 0.000 0.000
0.000 4.526 0.000
0.000 0.000 7.906
Dy Zn Sn
2 3 1
direct
0.000 0.000 0.000
0.000 0.500 0.476
0.500 0.000 0.315
0.500 0.000 0.633
0.500 0.500 0.168
0.500 0.500 0.821
```

energy relative to the lowest polymorph listed for this composition	2.0	kJ per mole of atoms
symmetry	Pmm2, No. 25

A plane-wave DFT calculation with PBE was carried out for a geometry-optimized Dy2ZnSn structure.

Cell and atoms, written as POSCAR:
```
Dy2ZnSn
1.0
4.982 0.000 0.000
0.000 4.982 0.000
0.000 0.000 3.979
Dy Zn Sn
2 1 1
direct
0.000 0.500 0.000
0.500 0.000 0.000
0.000 0.000 0.500
0.500 0.500 0.500
```

total energy	-4.116	eV/atom
symmetry	P4/mmm, No. 123